Below is crystalline FeMo2P at its relaxed geometry, with properties calculated at the GGA-PBE level.

The structure in POSCAR format:
```
FeMo2P
1.0
3.190 0.000 0.000
0.000 3.916 0.000
0.000 0.000 4.322
Fe Mo P
1 2 1
direct
0.000 0.000 0.000 Fe
0.000 0.500 0.500 Mo
0.500 0.500 0.000 Mo
0.500 0.000 0.500 P
```

Values from the calculation:
formation energy from the elements: 0.05 eV/atom
spin magnetization: 0.141 μB/atom
total energy: -35.344 eV per formula unit
space-group type: Pmmm